Entry 1:
Computed, not measured: an optimized crystal structure of TlSn2Ge at the PBE-GGA level of DFT.

Lattice parameters (Å, degrees): 3.955 3.955 8.594 76.70 76.70 60.00
Fractional coordinates of all 4 atoms:
Tl 0.499 0.499 0.503
Sn 0.069 0.069 0.794
Sn 0.265 0.265 0.206
Ge 0.668 0.668 0.997

space-group type	R3m, No. 160
polymorph energy (0 for the lowest one)	29	meV per atom

***

Entry 2:
Computed, not measured: an optimized crystal structure of Tl2Sn2Ge at the PBE-GGA level of DFT.

Lattice parameters (Å, degrees): 4.153 4.153 9.196 76.95 76.95 90.00
Fractional coordinates of all 5 atoms:
Tl 0.408 0.408 0.184
Tl 0.592 0.592 0.816
Ge 0.000 0.000 0.000
Sn 0.750 0.250 0.500
Sn 0.250 0.750 0.500

space-group type	I4/mmm, No. 139
polymorph energy (0 for the lowest one)	181	meV per atom

***

Entry 3:
Computed, not measured: an optimized crystal structure of Tl2SnGe2 at the PBE-GGA level of DFT.

Lattice parameters (Å, degrees): 7.336 7.336 5.002 90.00 90.00 90.00
Fractional coordinates of all 10 atoms:
Tl 0.180 0.680 0.500
Tl 0.680 0.820 0.500
Tl 0.820 0.320 0.500
Tl 0.320 0.180 0.500
Ge 0.375 0.875 0.000
Ge 0.875 0.625 0.000
Ge 0.625 0.125 0.000
Ge 0.125 0.375 0.000
Sn 0.000 0.000 0.000
Sn 0.500 0.500 0.000

space-group type	P4/mbm, No. 127
polymorph energy (0 for the lowest one)	0	meV per atom

***

Entry 4:
Computed, not measured: an optimized crystal structure of Tl2SnGe2 at the PBE-GGA level of DFT.

Lattice parameters (Å, degrees): 4.482 4.482 7.578 72.80 72.80 90.00
Fractional coordinates of all 5 atoms:
Tl 0.750 0.250 0.500
Tl 0.250 0.750 0.500
Ge 0.410 0.410 0.179
Ge 0.590 0.590 0.821
Sn 0.000 0.000 0.000

space-group type	I4/mmm, No. 139
polymorph energy (0 for the lowest one)	146	meV per atom

***

Entry 5:
Computed, not measured: an optimized crystal structure of Tl2SnGe at the PBE-GGA level of DFT.

Lattice parameters (Å, degrees): 4.400 3.500 14.805 90.00 90.00 90.00
Fractional coordinates of all 8 atoms:
Tl 0.000 0.000 0.251
Tl 0.000 0.500 0.751
Tl 0.500 0.000 0.908
Tl 0.500 0.500 0.408
Sn 0.000 0.000 0.532
Sn 0.000 0.500 0.032
Ge 0.500 0.000 0.651
Ge 0.500 0.500 0.151

space-group type	Amm2, No. 38

***

Entry 6:
Computed, not measured: an optimized crystal structure of Tl2SnGe at the PBE-GGA level of DFT.

Lattice parameters (Å, degrees): 3.943 6.869 9.121 80.29 79.00 73.67
Fractional coordinates of all 8 atoms:
Tl 0.340 0.387 0.731
Tl 0.311 0.979 0.174
Tl 0.577 0.799 0.849
Tl 0.118 0.009 0.565
Sn 0.854 0.658 0.429
Sn 0.559 0.323 0.348
Ge 0.048 0.575 0.111
Ge 0.696 0.342 0.029

space-group type	P1, No. 1

***

Entry 7:
Computed, not measured: an optimized crystal structure of Tl2SnGe at the PBE-GGA level of DFT.

Lattice parameters (Å, degrees): 3.332 3.332 11.717 81.83 81.83 60.00
Fractional coordinates of all 4 atoms:
Tl 0.085 0.085 0.744
Tl 0.915 0.915 0.256
Ge 0.000 0.000 0.000
Sn 0.500 0.500 0.500

space-group type	R-3m, No. 166

***

Entry 8:
Computed, not measured: an optimized crystal structure of TlSn2Ge at the PBE-GGA level of DFT.

Lattice parameters (Å, degrees): 4.890 4.660 4.660 90.00 90.00 90.00
Fractional coordinates of all 4 atoms:
Tl 0.500 0.500 0.500
Ge 0.500 0.000 0.000
Sn 0.000 0.000 0.500
Sn 0.000 0.500 0.000

space-group type	P4/mmm, No. 123
polymorph energy (0 for the lowest one)	84	meV per atom

***

Entry 9:
Computed, not measured: an optimized crystal structure of Tl2SnGe at the PBE-GGA level of DFT.

Lattice parameters (Å, degrees): 6.690 6.690 7.908 64.98 64.98 90.00
Fractional coordinates of all 8 atoms:
Tl 0.596 0.125 0.250
Tl 0.154 0.625 0.250
Tl 0.375 0.404 0.750
Tl 0.875 0.846 0.750
Ge 0.500 0.500 0.000
Ge 0.250 0.750 0.500
Sn 0.000 0.000 0.000
Sn 0.750 0.250 0.500

space-group type	I-42d, No. 122

***

Entry 10:
Computed, not measured: an optimized crystal structure of Tl2SnGe at the PBE-GGA level of DFT.

Lattice parameters (Å, degrees): 3.629 3.799 8.177 90.00 90.00 90.00
Fractional coordinates of all 4 atoms:
Tl 0.500 0.000 0.146
Tl 0.000 0.500 0.833
Sn 0.000 0.500 0.418
Ge 0.500 0.000 0.586

space-group type	Pmm2, No. 25

***

Number 1: formation enthalpy at 0 K 0.122 eV/atom. Number 2: formation enthalpy at 0 K 0.309 eV/atom. Number 3: formation enthalpy at 0 K 0.151 eV/atom. Number 4: formation enthalpy at 0 K 0.296 eV/atom. Number 5: formation enthalpy at 0 K 0.125 eV/atom. Number 6: formation enthalpy at 0 K 0.094 eV/atom. Number 7: formation enthalpy at 0 K 0.225 eV/atom. Number 8: formation enthalpy at 0 K 0.177 eV/atom. Number 9: formation enthalpy at 0 K 0.387 eV/atom. Number 10: formation enthalpy at 0 K 0.086 eV/atom.